# 1
{"formula": "VPtN2F", "functional": "GGA+U", "state": "optimized geometry", "lattice_angstrom": [[3.9018, 0.0000, 0.0000], [0.0000, 3.9018, 0.0000], [0.0000, 0.0000, 3.7247]], "species": ["V", "Pt", "N", "N", "F"], "fractional_positions": [[0.0000, 0.0000, 0.0000], [0.5000, 0.5000, 0.5000], [0.0000, 0.5000, 0.0000], [0.5000, 0.0000, 0.0000], [0.0000, 0.0000, 0.5000]], "final_energy_ev_per_atom": -5.92, "spacegroup": "P4/mmm, No. 123", "crystal_system": "tetragonal"}

=====

# 2
{"formula": "VPtN2F", "functional": "GGA+U", "state": "optimized geometry", "lattice_angstrom": [[3.7457, 0.0000, 0.0000], [0.0000, 3.7457, 0.0000], [0.0000, 0.0000, 5.3837]], "species": ["V", "Pt", "N", "N", "F"], "fractional_positions": [[0.0000, 0.0000, 0.0000], [0.5000, 0.5000, 0.5000], [0.0000, 0.5000, 0.5000], [0.5000, 0.0000, 0.5000], [0.5000, 0.5000, 0.0000]], "final_energy_ev_per_atom": -5.51, "spacegroup": "P4/mmm, No. 123", "crystal_system": "tetragonal"}

=====

# 3
{"formula": "PtWN2F", "functional": "GGA+U", "state": "optimized geometry", "lattice_angstrom": [[4.0093, 0.0000, 0.0000], [0.0000, 4.0093, 0.0000], [0.0000, 0.0000, 3.9934]], "species": ["Pt", "W", "N", "N", "F"], "fractional_positions": [[0.0000, 0.0000, 0.0000], [0.5000, 0.5000, 0.5000], [0.0000, 0.5000, 0.5000], [0.5000, 0.0000, 0.5000], [0.5000, 0.5000, 0.0000]], "final_energy_ev_per_atom": -5.89, "spacegroup": "P4/mmm, No. 123", "crystal_system": "tetragonal"}

=====

# 4
{"formula": "PtWN2F", "functional": "GGA+U", "state": "optimized geometry", "lattice_angstrom": [[4.0268, 0.0000, 0.0000], [0.0000, 4.0268, 0.0000], [0.0000, 0.0000, 4.0989]], "species": ["Pt", "W", "N", "N", "F"], "fractional_positions": [[0.0000, 0.0000, 0.0000], [0.5000, 0.5000, 0.5000], [0.0000, 0.5000, 0.0000], [0.5000, 0.0000, 0.0000], [0.0000, 0.0000, 0.5000]], "final_energy_ev_per_atom": -5.18, "spacegroup": "P4/mmm, No. 123", "crystal_system": "tetragonal"}

=====

Number 1: total magnetic moment 0.0000 μB/atom. Number 2: total magnetic moment 0.2094 μB/atom. Number 3: total magnetic moment 0.0000 μB/atom. Number 4: total magnetic moment 0.4386 μB/atom.